Entry 1:
Co2P2F after structural relaxation. Source: Alexandria, functional PBE+U.

uncorrected energy	-4.629	eV per atom
polymorph energy (0 for the lowest one)	0.00	eV per formula unit
DOS at the Fermi energy	0.46	states/eV/atom

Unit cell a=6.5475 b=6.5475 c=2.5957 alpha=90.00 beta=90.00 gamma=90.00
With the nearest neighbours (Å) after each atom.
Space group P4/mbm (No. 127)
One atom of each set of equivalent atoms:
Co: 0.1395 0.3605 0.0000 (multiplicity 4)  6 P 2.29-2.35, 2 F 2.53
P: 0.1485 0.6485 0.5000 (multiplicity 4)  6 Co 2.29-2.35
F: 0.0000 0.0000 0.0000 (multiplicity 2)  4 Co 2.53, 2 F 2.60, 8 P 2.82


Entry 2:
CoPF2 after structural relaxation. Source: Alexandria, functional PBE+U.

uncorrected energy	-3.669	eV per atom
polymorph energy (0 for the lowest one)	3.84	eV per formula unit
DOS at the Fermi energy	0.60	states/eV/atom

Unit cell a=5.8687 b=5.8687 c=5.8687 alpha=90.00 beta=90.00 gamma=90.00
With the nearest neighbours (Å) after each atom.
Space group Fm-3m (No. 225)
One atom of each set of equivalent atoms:
Co: 0.0000 0.0000 0.0000 (multiplicity 4)  8 F 2.54
P: 0.0000 0.0000 0.5000 (multiplicity 4)  8 F 2.54
F: 0.2500 0.2500 0.2500 (multiplicity 8)  4 Co 2.54, 4 P 2.54


Entry 3:
Rb2CoPF6 after structural relaxation. Source: Alexandria, functional PBE+U.

uncorrected energy	-4.447	eV per atom
DOS at the Fermi energy	0.65	states/eV/atom

Unit cell a=5.7704 b=5.7704 c=10.3861 alpha=90.00 beta=90.00 gamma=90.00
With the nearest neighbours (Å) after each atom.
Space group I4/mmm (No. 139)
One atom of each set of equivalent atoms:
Rb: 0.0000 0.5000 0.2500 (multiplicity 4)  12 F 2.96-3.30
Co: 0.0000 0.0000 0.0000 (multiplicity 2)  6 F 1.93-2.13
P: 0.0000 0.0000 0.5000 (multiplicity 2)  4 F 1.95
F: 0.0000 0.0000 0.1862 (multiplicity 4)  1 Co 1.93
F: 0.2385 0.2385 0.5000 (multiplicity 8)  1 P 1.95, 1 Co 2.13


Entry 4:
CoPS2F after structural relaxation. Source: Alexandria, functional PBE+U.

uncorrected energy	-3.599	eV per atom
polymorph energy (0 for the lowest one)	0.00	eV per formula unit
DOS at the Fermi energy	0.82	states/eV/atom

Unit cell a=4.3397 b=4.3397 c=4.4447 alpha=90.00 beta=90.00 gamma=90.00
With the nearest neighbours (Å) after each atom.
Space group P4/mmm (No. 123)
One atom of each set of equivalent atoms:
Co: 0.0000 0.0000 0.0000 (multiplicity 1)  4 S 2.17, 2 P 2.22
P: 0.0000 0.0000 0.5000 (multiplicity 1)  2 Co 2.22
S: 0.0000 0.5000 0.0000 (multiplicity 2)  2 Co 2.17
F: 0.5000 0.5000 0.5000 (multiplicity 1)  4 P 3.07, 8 S 3.11


Entry 5:
CoPS2F after structural relaxation. Source: Alexandria, functional PBE+U.

uncorrected energy	-3.287	eV per atom
polymorph energy (0 for the lowest one)	1.56	eV per formula unit
DOS at the Fermi energy	0.50	states/eV/atom

Unit cell a=4.9198 b=4.9198 c=3.6477 alpha=90.00 beta=90.00 gamma=90.00
With the nearest neighbours (Å) after each atom.
Space group P4/mmm (No. 123)
One atom of each set of equivalent atoms:
Co: 0.0000 0.0000 0.0000 (multiplicity 1)  8 S 3.06
P: 0.5000 0.5000 0.0000 (multiplicity 1)  2 F 1.82
S: 0.0000 0.5000 0.5000 (multiplicity 2)  2 F 2.46
F: 0.5000 0.5000 0.5000 (multiplicity 1)  2 P 1.82


Entry 6:
CoTcP2F after structural relaxation. Source: Alexandria, functional PBE+U.

uncorrected energy	-5.378	eV per atom
DOS at the Fermi energy	0.42	states/eV/atom

Unit cell a=4.4321 b=4.4321 c=5.0628 alpha=90.00 beta=90.00 gamma=90.00
With the nearest neighbours (Å) after each atom.
Space group P4/mmm (No. 123)
One atom of each set of equivalent atoms:
Co: 0.0000 0.0000 0.0000 (multiplicity 1)  2 Tc 2.53
Tc: 0.0000 0.0000 0.5000 (multiplicity 1)  4 P 2.22
P: 0.0000 0.5000 0.5000 (multiplicity 2)  2 Tc 2.22
F: 0.5000 0.5000 0.0000 (multiplicity 1)  4 Co 3.13, 8 P 3.36


no.,V (Å³/atom)
1,11.1
2,12.6
3,17.3
4,16.7
5,17.7
6,19.9